{"formula": "NaAg2Bi2", "functional": "PBE-GGA", "state": "optimized geometry", "lattice": [[-2.449, 2.449, 6.129], [2.449, -2.449, 6.129], [2.449, 2.449, -6.129]], "species": ["Na", "Ag", "Ag", "Bi", "Bi"], "frac_coords": [[0.000, 0.000, 0.000], [0.389, 0.389, 0.000], [0.611, 0.611, 0.000], [0.250, 0.750, 0.500], [0.750, 0.250, 0.500]], "polymorph_energy_ev_per_atom": 0.0977, "formation_enthalpy_0k_ev_per_atom": 0.04, "sg": "I4/mmm (139)"}